No. 1
DFT (GGA-PBE) results for crystalline Tb2YTe at its relaxed geometry.

Summary:
Magnetic moment   0.00 μB/atom
Offset from the most stable computed form   107.8 meV/atom
Formation energy (no corrections)   -561 meV/atom

Lattice parameters (Å, degrees): 3.8918 3.8918 7.8705 90.00 90.00 90.00
Last column: nearest neighbours and their distance in Å.
Space group P4/mmm (No. 123)
Asymmetric unit:
Tb: 0.0000 0.0000 0.2242 (multiplicity 2)  4 Te 3.27, 4 Y 3.50, 1 Tb 3.53
Y: 0.5000 0.5000 0.5000 (multiplicity 1)  8 Tb 3.50, 4 Y 3.89
Te: 0.5000 0.5000 0.0000 (multiplicity 1)  8 Tb 3.27

=====

No. 2
DFT (GGA-PBE) results for crystalline Cu2BH5O6 at its relaxed geometry.

Summary:
Magnetic moment   0.14 μB/atom
E   -5.514 eV/atom

Lattice parameters (Å, degrees): 9.5563 5.9132 8.8244 90.00 90.00 90.00
Last column: nearest neighbours and their distance in Å.
Space group Pnma (No. 62)
Asymmetric unit:
Cu: 0.2434 0.0010 0.0833 (multiplicity 8)  4 O 1.97-2.00
B: 0.9995 0.2500 0.6692 (multiplicity 4)  3 O 1.38
H: 0.0068 0.0772 0.3290 (multiplicity 8)  1 O 1.00
H: 0.0462 0.7500 0.9918 (multiplicity 4)  1 O 1.00
H: 0.1546 0.2500 0.8860 (multiplicity 4)  1 O 0.99
H: 0.1588 0.7500 0.7903 (multiplicity 4)  1 O 1.02
O: 0.0754 0.5498 0.3280 (multiplicity 8)  1 H 1.00
O: 0.1337 0.2500 0.9958 (multiplicity 4)  1 H 0.99
O: 0.1436 0.2500 0.6692 (multiplicity 4)  1 B 1.38
O: 0.1437 0.7500 0.6764 (multiplicity 4)  1 H 1.02
O: 0.1503 0.7500 0.9772 (multiplicity 4)  1 H 1.00